[1]
DFT (GGA-PBEsol) results for a geometry-optimized Cr4Re structure.

Computed properties:
VASP energy (eV/atom): -10.841
Energy above the most stable polymorph in this dataset (kJ per mole of atoms): 0.0
ΔE_f (eV/atom): 0.0187
Calculated density (Mg/m³): 11.0
SG: No. 87

a = 4.7712 Å, b = 4.7712 Å, c = 4.7712 Å
α = 95.20°, β = 95.20°, γ = 144.96°
Last column: nearest neighbours and their distance in Å.
Element x y z (fractional)
Cr 0.1026 0.6929 0.7955  6 Cr 2.45-2.49, 2 Re 2.53
Cr 0.3071 0.1026 0.4097  6 Cr 2.45-2.49, 2 Re 2.53
Cr 0.6929 0.8974 0.5903  6 Cr 2.45-2.49, 2 Re 2.53
Cr 0.8974 0.3071 0.2045  6 Cr 2.45-2.49, 2 Re 2.53
Re 0.5000 0.5000 0.0000  8 Cr 2.53

=====

[2]
DFT (GGA-PBEsol) results for a geometry-optimized As2PdCSe structure.

Computed properties:
VASP energy (eV/atom): -4.989
Calculated density (Mg/m³): 7.4
SG: No. 123
Formation energy from raw total energies (kJ per mole of atoms): 91.1

a = 4.2321 Å, b = 4.2321 Å, c = 4.3383 Å
α = 90.00°, β = 90.00°, γ = 90.00°
Last column: nearest neighbours and their distance in Å.
Element x y z (fractional)
As 0.0000 0.5000 0.0000  2 C 2.12
As 0.5000 0.0000 0.0000  2 C 2.12
Pd 0.0000 0.0000 0.5000  4 Se 2.99, 8 As 3.03
C 0.5000 0.5000 0.0000  4 As 2.12, 2 Se 2.17
Se 0.5000 0.5000 0.5000  2 C 2.17

=====

[3]
DFT (GGA-PBEsol) results for a geometry-optimized CdO structure.

Computed properties:
VASP energy (eV/atom): -4.252
Calculated density (Mg/m³): 8.2
SG: No. 225
Formation energy from raw total energies (kJ per mole of atoms): -99.2

a = 3.3277 Å, b = 3.3277 Å, c = 3.3277 Å
α = 60.00°, β = 60.00°, γ = 60.00°
Last column: nearest neighbours and their distance in Å.
Element x y z (fractional)
Cd 0.0000 0.0000 0.0000  6 O 2.35
O 0.5000 0.5000 0.5000  6 Cd 2.35

=====

[4]
DFT (GGA-PBEsol) results for a geometry-optimized CsPbNO2 structure.

Computed properties:
VASP energy (eV/atom): -4.781
Calculated density (Mg/m³): 7.2
SG: No. 123
Formation energy from raw total energies (kJ per mole of atoms): 1.2

a = 4.3662 Å, b = 4.3662 Å, c = 4.6685 Å
α = 90.00°, β = 90.00°, γ = 90.00°
Last column: nearest neighbours and their distance in Å.
Element x y z (fractional)
Cs 0.0000 0.0000 0.0000  4 N 3.09, 8 O 3.20
Pb 0.5000 0.5000 0.5000  4 O 2.18, 2 N 2.33
N 0.5000 0.5000 0.0000  2 Pb 2.33
O 0.0000 0.5000 0.5000  2 Pb 2.18
O 0.5000 0.0000 0.5000  2 Pb 2.18

=====

[5]
DFT (GGA-PBEsol) results for a geometry-optimized Tl16O15F17 structure.

Computed properties:
VASP energy (eV/atom): -4.435
Calculated density (Mg/m³): 9.7
SG: No. 8
Formation energy from raw total energies (kJ per mole of atoms): -119.2

a = 9.4320 Å, b = 9.4320 Å, c = 9.5321 Å
α = 109.69°, β = 109.69°, γ = 108.48°
Last column: nearest neighbours and their distance in Å.
Element x y z (fractional)
Tl 0.0000 0.0000 0.0000  2 O 2.11-2.18, 1 F 2.34
Tl 0.1950 0.1950 0.4804  3 O 2.14-2.21, 3 F 2.23-2.34
Tl 0.2162 0.4942 0.2730  3 O 2.19-2.24, 3 F 2.30-2.43
Tl 0.2195 0.7188 0.0232  3 O 2.20-2.29, 3 F 2.31-2.45
Tl 0.2276 0.9751 0.7406  4 O 2.24-2.32, 2 F 2.41-2.46
Tl 0.4619 0.9548 0.4983  5 O 2.23-2.49, 1 F 2.39
Tl 0.4846 0.7456 0.7436  2 O 2.17-2.31, 4 F 2.22-2.39
Tl 0.4942 0.2162 0.2730  3 O 2.19-2.24, 3 F 2.30-2.43
Tl 0.5059 0.5059 0.0224  1 O 2.16, 6 F 2.17-2.38
Tl 0.7188 0.2195 0.0232  3 O 2.20-2.29, 3 F 2.31-2.45
Tl 0.7337 0.9833 0.2744  4 O 2.16-2.34
Tl 0.7456 0.4846 0.7436  2 O 2.17-2.31, 4 F 2.22-2.39
Tl 0.7467 0.7467 0.5025  2 O 2.17, 2 F 2.24-2.26
Tl 0.9548 0.4619 0.4983  5 O 2.23-2.49, 1 F 2.39
Tl 0.9751 0.2276 0.7406  4 O 2.24-2.32, 2 F 2.41-2.46
Tl 0.9833 0.7337 0.2744  4 O 2.16-2.34
O 0.9996 0.9996 0.2215  2 Tl 2.11-2.14
O 0.0030 0.4898 0.7815  3 Tl 2.20-2.31
O 0.0357 0.0357 0.7974  3 Tl 2.18-2.24
O 0.1868 0.7027 0.2359  3 Tl 2.16-2.20
O 0.2314 0.9840 0.5093  4 Tl 2.21-2.34
O 0.4496 0.9649 0.2641  3 Tl 2.23-2.29
O 0.4647 0.7168 0.5007  3 Tl 2.17-2.26
O 0.4898 0.0030 0.7815  3 Tl 2.20-2.31
O 0.7027 0.1868 0.2359  3 Tl 2.16-2.20
O 0.7168 0.4647 0.5007  3 Tl 2.17-2.26
O 0.7293 0.9739 0.5133  4 Tl 2.17-2.42
O 0.7399 0.7399 0.2277  3 Tl 2.16-2.21
O 0.9649 0.4496 0.2641  3 Tl 2.23-2.29
O 0.9739 0.7293 0.5133  4 Tl 2.17-2.42
O 0.9840 0.2314 0.5093  4 Tl 2.21-2.34
F 0.2269 0.7077 0.7197  3 Tl 2.26-2.46
F 0.2368 0.9535 0.9883  4 Tl 2.31-2.57
F 0.2465 0.4644 0.0234  4 Tl 2.36-2.54, 1 F 2.55
F 0.2608 0.2608 0.2261  3 Tl 2.30-2.40
F 0.2628 0.4597 0.5204  3 Tl 2.23-2.40
F 0.2928 0.2928 0.7731  2 Tl 2.17-2.34
F 0.4522 0.7249 0.9872  3 Tl 2.32-2.50, 1 F 2.59
F 0.4597 0.2628 0.5204  3 Tl 2.23-2.40
F 0.4644 0.2465 0.0234  4 Tl 2.36-2.54, 1 F 2.55
F 0.5132 0.5132 0.2663  2 Tl 2.24-2.28
F 0.5581 0.5581 0.8081  3 Tl 2.28-2.42
F 0.7077 0.2269 0.7197  3 Tl 2.26-2.46
F 0.7239 0.9525 0.9888  3 Tl 2.22-2.46
F 0.7249 0.4522 0.9872  3 Tl 2.32-2.50, 1 F 2.59
F 0.7587 0.7587 0.7475  2 Tl 2.26-2.34
F 0.9525 0.7239 0.9888  3 Tl 2.22-2.46
F 0.9535 0.2368 0.9883  4 Tl 2.31-2.57

=====

[6]
DFT (GGA-PBEsol) results for a geometry-optimized Cd2InAg structure.

Computed properties:
VASP energy (eV/atom): -2.175
ΔE_f (eV/atom): -0.0033
Calculated density (Mg/m³): 9.0
SG: No. 65

a = 3.0546 Å, b = 3.0546 Å, c = 8.8145 Å
α = 90.00°, β = 90.00°, γ = 90.26°
Last column: nearest neighbours and their distance in Å.
Element x y z (fractional)
Cd 0.0000 0.0000 0.2229  4 Ag 2.92, 4 Cd 3.05, 4 In 3.26
Cd 0.0000 0.0000 0.7771  4 Ag 2.92, 4 Cd 3.05, 4 In 3.26
In 0.5000 0.5000 0.5000  4 In 3.05, 8 Cd 3.26
Ag 0.5000 0.5000 0.0000  8 Cd 2.92, 4 Ag 3.05

=====

[7]
DFT (GGA-PBEsol) results for a geometry-optimized KP2I structure.

Computed properties:
VASP energy (eV/atom): -3.058
Energy above the most stable polymorph in this dataset (kJ per mole of atoms): 0.0
Calculated density (Mg/m³): 3.6
SG: No. 122
Formation energy from raw total energies (kJ per mole of atoms): 54.3

a = 6.6382 Å, b = 6.6382 Å, c = 6.6382 Å
α = 101.58°, β = 101.58°, γ = 126.77°
Last column: nearest neighbours and their distance in Å.
Element x y z (fractional)
K 0.0000 0.0000 0.0000  2 I 2.97, 4 P 3.23
K 0.7500 0.2500 0.5000  2 I 2.97, 4 P 3.23
P 0.1545 0.6250 0.0295  2 I 2.89, 2 P 3.01, 2 K 3.23
P 0.3750 0.4045 0.5295  2 I 2.89, 2 P 3.01, 2 K 3.23
P 0.5955 0.1250 0.9705  2 I 2.89, 2 P 3.01, 2 K 3.23
P 0.8750 0.8455 0.4705  2 I 2.89, 2 P 3.01, 2 K 3.23
I 0.2500 0.7500 0.5000  4 P 2.89, 2 K 2.97
I 0.5000 0.5000 0.0000  4 P 2.89, 2 K 2.97

=====

[8]
DFT (GGA-PBEsol) results for a geometry-optimized Li2AlAu structure.

Computed properties:
VASP energy (eV/atom): -3.402
ΔE_f (eV/atom): -0.4148
Calculated density (Mg/m³): 6.6
SG: No. 139

a = 5.0433 Å, b = 5.0433 Å, c = 5.0433 Å
α = 136.49°, β = 136.49°, γ = 63.23°
Last column: nearest neighbours and their distance in Å.
Element x y z (fractional)
Li 0.2500 0.7500 0.5000  4 Li 2.64, 4 Al 2.85, 4 Au 2.85
Li 0.7500 0.2500 0.5000  4 Li 2.64, 4 Al 2.85, 4 Au 2.85
Al 0.0000 0.0000 0.0000  4 Au 2.64, 8 Li 2.85
Au 0.5000 0.5000 0.0000  4 Al 2.64, 8 Li 2.85